Entry 1:
The following is a DFT calculation (PBE) of NaGdHgTe3 after structural relaxation.

## Properties
Distance to the lowest polymorph of the same formula   36 meV per atom
Space group   Pnma

CIF file:
```
data_NaGdHgTe3
_chemical_formula_sum 'Na4 Gd4 Hg4 Te12'
_cell_length_a 4.438
_cell_length_b 13.313
_cell_length_c 13.392
_cell_angle_alpha 90.00
_cell_angle_beta 90.00
_cell_angle_gamma 90.00
_symmetry_space_group_name_H-M 'P 1'
_symmetry_Int_Tables_number 1
_symmetry_space_group_name_Hall 'P 1'
loop_
_atom_site_label
_atom_site_type_symbol
_atom_site_fract_x
_atom_site_fract_y
_atom_site_fract_z
Gd1 Gd 0.750 0.676 0.050
Gd2 Gd 0.250 0.176 0.450
Gd3 Gd 0.750 0.824 0.550
Gd4 Gd 0.250 0.324 0.950
Hg1 Hg 0.750 0.295 0.241
Hg2 Hg 0.250 0.795 0.259
Hg3 Hg 0.750 0.205 0.741
Hg4 Hg 0.250 0.705 0.759
Na1 Na 0.750 0.995 0.145
Na2 Na 0.250 0.495 0.355
Na3 Na 0.750 0.505 0.645
Na4 Na 0.250 0.005 0.855
Te1 Te 0.250 0.845 0.050
Te2 Te 0.750 0.428 0.080
Te3 Te 0.250 0.153 0.224
Te4 Te 0.750 0.653 0.276
Te5 Te 0.250 0.928 0.420
Te6 Te 0.750 0.345 0.450
Te7 Te 0.250 0.655 0.550
Te8 Te 0.750 0.072 0.580
Te9 Te 0.250 0.347 0.724
Te10 Te 0.750 0.847 0.776
Te11 Te 0.250 0.572 0.920
Te12 Te 0.750 0.155 0.950
```

Entry 2:
The following is a DFT calculation (PBE) of GdNbHg after structural relaxation.

## Properties
Distance to the lowest polymorph of the same formula   0 meV per atom
Formation energy from the elements   55 kJ/mol of atoms
Space group   F-43m

CIF file:
```
data_GdNbHg
_chemical_formula_sum 'Gd1 Nb1 Hg1'
_cell_length_a 4.858
_cell_length_b 4.858
_cell_length_c 4.858
_cell_angle_alpha 60.00
_cell_angle_beta 60.00
_cell_angle_gamma 60.00
_symmetry_space_group_name_H-M 'P 1'
_symmetry_Int_Tables_number 1
_symmetry_space_group_name_Hall 'P 1'
loop_
_atom_site_label
_atom_site_type_symbol
_atom_site_fract_x
_atom_site_fract_y
_atom_site_fract_z
Gd1 Gd 0.250 0.250 0.250
Hg1 Hg 0.000 0.000 0.000
Nb1 Nb 0.750 0.750 0.750
```

Entry 3:
The following is a DFT calculation (PBE) of GdNbHg after structural relaxation.

## Properties
Distance to the lowest polymorph of the same formula   389 meV per atom
Formation energy from the elements   93 kJ/mol of atoms
Space group   F-43m

CIF file:
```
data_GdNbHg
_chemical_formula_sum 'Gd1 Nb1 Hg1'
_cell_length_a 4.919
_cell_length_b 4.919
_cell_length_c 4.919
_cell_angle_alpha 60.00
_cell_angle_beta 60.00
_cell_angle_gamma 60.00
_symmetry_space_group_name_H-M 'P 1'
_symmetry_Int_Tables_number 1
_symmetry_space_group_name_Hall 'P 1'
loop_
_atom_site_label
_atom_site_type_symbol
_atom_site_fract_x
_atom_site_fract_y
_atom_site_fract_z
Gd1 Gd 0.000 0.000 0.000
Hg1 Hg 0.250 0.250 0.250
Nb1 Nb 0.750 0.750 0.750
```

Entry 4:
The following is a DFT calculation (PBE) of NdGdHg6 after structural relaxation.

## Properties
Formation energy from the elements   -36 kJ/mol of atoms
Space group   P-6m2

CIF file:
```
data_NdGdHg6
_chemical_formula_sum 'Nd1 Gd1 Hg6'
_cell_length_a 6.659
_cell_length_b 6.659
_cell_length_c 5.032
_cell_angle_alpha 90.00
_cell_angle_beta 90.00
_cell_angle_gamma 120.00
_symmetry_space_group_name_H-M 'P 1'
_symmetry_Int_Tables_number 1
_symmetry_space_group_name_Hall 'P 1'
loop_
_atom_site_label
_atom_site_type_symbol
_atom_site_fract_x
_atom_site_fract_y
_atom_site_fract_z
Gd1 Gd 0.000 0.000 0.500
Hg1 Hg 0.334 0.167 0.000
Hg2 Hg 0.833 0.167 0.000
Hg3 Hg 0.833 0.666 0.000
Hg4 Hg 0.503 0.007 0.500
Hg5 Hg 0.503 0.497 0.500
Hg6 Hg 0.993 0.497 0.500
Nd1 Nd 0.333 0.667 0.000
```

Entry 5:
The following is a DFT calculation (PBE) of GdNiHg after structural relaxation.

## Properties
Formation energy from the elements   7 kJ/mol of atoms
Space group   F-43m

CIF file:
```
data_GdNiHg
_chemical_formula_sum 'Gd1 Ni1 Hg1'
_cell_length_a 4.687
_cell_length_b 4.687
_cell_length_c 4.687
_cell_angle_alpha 60.00
_cell_angle_beta 60.00
_cell_angle_gamma 60.00
_symmetry_space_group_name_H-M 'P 1'
_symmetry_Int_Tables_number 1
_symmetry_space_group_name_Hall 'P 1'
loop_
_atom_site_label
_atom_site_type_symbol
_atom_site_fract_x
_atom_site_fract_y
_atom_site_fract_z
Gd1 Gd 0.250 0.250 0.250
Hg1 Hg 0.000 0.000 0.000
Ni1 Ni 0.750 0.750 0.750
```

Entry 6:
The following is a DFT calculation (PBE) of GdNiHg after structural relaxation.

## Properties
Formation energy from the elements   18 kJ/mol of atoms
Space group   F-43m

CIF file:
```
data_GdNiHg
_chemical_formula_sum 'Gd1 Ni1 Hg1'
_cell_length_a 4.762
_cell_length_b 4.762
_cell_length_c 4.762
_cell_angle_alpha 60.00
_cell_angle_beta 60.00
_cell_angle_gamma 60.00
_symmetry_space_group_name_H-M 'P 1'
_symmetry_Int_Tables_number 1
_symmetry_space_group_name_Hall 'P 1'
loop_
_atom_site_label
_atom_site_type_symbol
_atom_site_fract_x
_atom_site_fract_y
_atom_site_fract_z
Gd1 Gd 0.000 0.000 0.000
Hg1 Hg 0.250 0.250 0.250
Ni1 Ni 0.750 0.750 0.750
```

Entry 7:
The following is a DFT calculation (PBE) of GdNpHg after structural relaxation.

## Properties
Formation energy from the elements   69 kJ/mol of atoms
Space group   F-43m

CIF file:
```
data_GdNpHg
_chemical_formula_sum 'Gd1 Np1 Hg1'
_cell_length_a 5.037
_cell_length_b 5.037
_cell_length_c 5.037
_cell_angle_alpha 60.00
_cell_angle_beta 60.00
_cell_angle_gamma 60.00
_symmetry_space_group_name_H-M 'P 1'
_symmetry_Int_Tables_number 1
_symmetry_space_group_name_Hall 'P 1'
loop_
_atom_site_label
_atom_site_type_symbol
_atom_site_fract_x
_atom_site_fract_y
_atom_site_fract_z
Gd1 Gd 0.000 0.000 0.000
Hg1 Hg 0.500 0.500 0.500
Np1 Np 0.750 0.750 0.750
```

Entry 8:
The following is a DFT calculation (PBE) of GdHg3O after structural relaxation.

## Properties
Space group   Pm-3m

CIF file:
```
data_GdHg3O
_chemical_formula_sum 'Gd1 Hg3 O1'
_cell_length_a 4.861
_cell_length_b 4.861
_cell_length_c 4.861
_cell_angle_alpha 90.00
_cell_angle_beta 90.00
_cell_angle_gamma 90.00
_symmetry_space_group_name_H-M 'P 1'
_symmetry_Int_Tables_number 1
_symmetry_space_group_name_Hall 'P 1'
loop_
_atom_site_label
_atom_site_type_symbol
_atom_site_fract_x
_atom_site_fract_y
_atom_site_fract_z
Gd1 Gd 0.000 0.000 0.000
Hg1 Hg 0.500 0.500 0.000
Hg2 Hg 0.500 0.000 0.500
Hg3 Hg 0.000 0.500 0.500
O1 O 0.500 0.500 0.500
```

Listing total DFT energy (no corrections) for the structures above in their given order: -0.254, -0.326, -0.298, -0.131, -0.252, -0.244, -0.382, -0.148 Ry/atom.
Listing size of the total moment for the structures above in their given order: 0.01, 1.86, 2.99, 0.01, 0.00, 0.00, 4.68, 0.62 Bohr magnetons per cell.
Listing V for the structures above in their given order: 791.3, 81.1, 84.2, 193.2, 72.8, 76.3, 90.4, 114.9 Å³/cell.